A relaxed Tl2AsAu crystal, computed with PBE.

Cell lengths 7.015, 7.015, 10.494 Å; angles 90.00, 90.00, 90.00 degrees
Space group I-42d (No. 122)
Symmetry-distinct sites (fractional):
Tl 0.242 0.250 0.125
As 0.000 0.000 0.000
Au 0.000 0.000 0.500

Summary:
Magnetization in μB per cell: 0.0
Distance to the lowest polymorph of the same formula in meV per atom: 284.8
Electronic total energy in eV per atom: -2.947
Formation energy from the elements in eV/atom: 0.218